The following is a DFT calculation (GGA-PBE) of crystalline La15CeNd4 at its relaxed geometry.

POSCAR file:
```
La15CeNd4
1.0
5.234 0.000 0.000
0.000 5.234 0.000
0.000 0.000 26.311
Nd La Ce
4 15 1
Direct
0.000 0.000 0.801
0.000 0.000 0.601
0.000 0.000 0.399
0.000 0.000 0.199
0.000 0.500 0.904
0.000 0.500 0.701
0.000 0.500 0.500
0.000 0.500 0.096
0.500 0.000 0.500
0.000 0.500 0.299
0.500 0.500 0.600
0.500 0.000 0.701
0.500 0.000 0.096
0.500 0.500 0.199
0.500 0.000 0.299
0.500 0.500 0.000
0.500 0.500 0.801
0.500 0.000 0.904
0.500 0.500 0.400
0.000 0.000 0.000
```

Output
The calculation puts the volume at 36.04 Å³/atom. Its calculated formation energy is 0.021 eV per atom. As for the total moment: 0.069 μB per atom.

The following is a DFT calculation (GGA-PBE) of crystalline CaPmGeIr at its relaxed geometry.

POSCAR file:
```
CaPmGeIr
1.0
5.027 0.000 0.000
2.513 4.353 0.000
2.513 1.451 4.104
Ca Ir Pm Ge
1 1 1 1
Direct
0.000 0.000 0.000
0.750 0.750 0.750
0.500 0.500 0.500
0.250 0.250 0.250
```

Output
The calculation puts the volume at 22.45 Å³/atom. Its calculated formation energy is -0.478 eV per atom. As for the total moment: 0.000 μB per atom. As for the distance to the lowest polymorph of the same formula: 0.186 eV per atom.

The following is a DFT calculation (GGA-PBE) of crystalline Sm5Ho8Tl at its relaxed geometry.

POSCAR file:
```
Sm5Ho8Tl
1.0
-4.871 4.699 -5.019
7.371 -1.669 -3.727
-4.210 -7.126 1.583
Ho Sm Tl
8 5 1
Direct
0.526 0.607 0.273
0.558 0.897 0.828
0.931 0.103 0.661
0.339 0.270 0.442
0.081 0.747 0.474
0.172 0.730 0.069
0.666 0.393 0.919
0.727 0.253 0.334
0.867 0.889 0.179
0.821 0.688 0.710
0.500 0.000 0.500
0.022 0.312 0.133
0.290 0.111 0.978
0.250 0.500 0.750
```

Output
The calculation puts the volume at 32.86 Å³/atom. Its calculated formation energy is 0.189 eV per atom. As for the total moment: 0.000 μB per atom.

The following is a DFT calculation (GGA-PBE) of crystalline Cs3BSe3 at its relaxed geometry.

POSCAR file:
```
Cs3BSe3
1.0
-2.406 -3.409 5.979
-7.201 -4.213 -5.300
8.740 -4.524 0.939
Se Cs B
6 6 2
Direct
0.250 0.853 0.547
0.250 0.693 0.147
0.750 0.307 0.853
0.750 0.548 0.694
0.750 0.147 0.453
0.250 0.452 0.306
0.750 0.894 0.617
0.750 0.383 0.277
0.250 0.277 0.894
0.250 0.617 0.723
0.750 0.723 0.106
0.250 0.106 0.383
0.750 0.334 0.667
0.250 0.666 0.333
```

Output
The calculation puts the volume at 44.07 Å³/atom. The uncorrected formation energy comes out at -0.90 eV per atom. As for the total moment: 0.000 μB per atom. As for the distance to the lowest polymorph of the same formula: 0.024 eV per atom.

The following is a DFT calculation (GGA-PBE) of crystalline Ba6IO5 at its relaxed geometry.

POSCAR file:
```
Ba6IO5
1.0
-2.349 -6.693 -1.112
5.581 -4.440 -1.234
3.218 -3.391 5.532
Ba O I
6 5 1
Direct
0.254 0.903 0.613
0.254 0.516 0.387
0.746 0.097 0.387
0.698 0.734 0.000
0.302 0.266 0.000
0.746 0.484 0.613
0.500 0.500 0.000
0.000 0.319 0.362
0.500 0.841 0.318
0.000 0.681 0.638
0.500 0.159 0.682
0.000 0.000 0.000
```

Output
The calculation puts the volume at 25.49 Å³/atom. The uncorrected formation energy comes out at -2.15 eV per atom. As for the total moment: 0.000 μB per atom.

The following is a DFT calculation (GGA-PBE) of crystalline PuIn3Hg6 at its relaxed geometry.

POSCAR file:
```
PuIn3Hg6
1.0
3.122 0.000 -0.537
-1.991 9.700 -5.340
0.859 0.000 11.218
Hg In Pu
6 3 1
Direct
0.488 0.000 0.733
0.755 0.267 0.267
0.541 0.000 0.266
0.541 0.266 0.000
0.488 0.733 0.000
0.275 0.734 0.734
0.019 0.000 0.499
0.019 0.499 0.000
0.520 0.501 0.501
0.015 0.000 0.000
```

Output
The calculation puts the volume at 34.42 Å³/atom. Its calculated formation energy is 0.095 eV per atom. As for the total moment: 0.596 μB per atom. As for the distance to the lowest polymorph of the same formula: 0.043 eV per atom.

The following is a DFT calculation (GGA-PBE) of crystalline GaSnAsO6 at its relaxed geometry.

POSCAR file:
```
GaSnAsO6
1.0
4.982 0.000 0.000
-2.491 4.314 0.000
0.000 0.000 8.922
O Ga As Sn
12 2 2 2
Direct
0.982 0.344 0.633
0.362 0.344 0.867
0.018 0.362 0.133
0.344 0.362 0.367
0.638 0.982 0.367
0.982 0.638 0.867
0.018 0.656 0.367
0.344 0.982 0.133
0.656 0.018 0.867
0.656 0.638 0.633
0.638 0.656 0.133
0.362 0.018 0.633
0.667 0.333 0.250
0.333 0.667 0.750
0.333 0.667 0.250
0.667 0.333 0.750
0.000 0.000 0.500
0.000 0.000 0.000
```

Output
The calculation puts the volume at 10.65 Å³/atom. The uncorrected formation energy comes out at -1.48 eV per atom. As for the total moment: 0.000 μB per atom.

The following is a DFT calculation (GGA-PBE) of crystalline ThZn9Cu2 at its relaxed geometry.

POSCAR file:
```
ThZn9Cu2
1.0
-0.382 0.452 3.065
1.584 -8.239 1.412
6.391 5.616 -0.031
Zn Cu Th
9 2 1
Direct
0.500 0.809 0.191
0.000 0.500 0.500
0.500 0.382 0.191
0.500 0.191 0.382
0.000 0.500 0.000
0.500 0.809 0.618
0.500 0.618 0.809
0.500 0.191 0.809
0.000 0.000 0.500
0.000 0.667 0.333
0.000 0.333 0.667
0.000 0.000 0.000
```

Output
The calculation puts the volume at 16.31 Å³/atom. Its calculated formation energy is -0.090 eV per atom. As for the total moment: 0.011 μB per atom. As for the distance to the lowest polymorph of the same formula: 0.130 eV per atom.

The following is a DFT calculation (GGA-PBE) of crystalline CaSiNi2 at its relaxed geometry.

POSCAR file:
```
CaSiNi2
1.0
-3.588 0.483 1.280
-1.356 -1.740 -3.143
0.432 -7.927 4.203
Ca Ni Si
2 4 2
Direct
0.500 0.000 0.213
0.000 0.500 0.787
0.500 0.000 0.897
0.000 0.500 0.103
0.500 0.500 0.500
0.000 0.000 0.500
0.000 0.500 0.355
0.500 0.000 0.645
```

Output
The calculation puts the volume at 16.56 Å³/atom. The uncorrected formation energy comes out at -0.32 eV per atom. As for the total moment: 0.000 μB per atom.

The following is a DFT calculation (GGA-PBE) of crystalline ZnP2SN at its relaxed geometry.

POSCAR file:
```
ZnP2SN
1.0
4.056 0.000 0.000
0.000 4.056 0.000
0.000 0.000 4.305
S Zn P N
1 1 2 1
Direct
0.000 0.000 0.500
0.500 0.500 0.500
0.500 0.000 0.000
0.000 0.500 0.000
0.000 0.000 0.000
```

Output
The calculation puts the volume at 14.16 Å³/atom. The uncorrected formation energy comes out at 0.99 eV per atom. As for the total moment: 0.000 μB per atom. As for the distance to the lowest polymorph of the same formula: 0.000 eV per atom.

The following is a DFT calculation (GGA-PBE) of crystalline SbMoRu3 at its relaxed geometry.

POSCAR file:
```
SbMoRu3
1.0
-3.454 3.144 -0.272
-3.143 -3.463 -0.122
-0.283 0.093 4.669
Ru Sb Mo
3 1 1
Direct
0.000 0.000 0.500
0.500 0.000 0.000
0.000 0.500 0.000
0.500 0.500 0.500
0.000 0.000 0.000
```

Output
The calculation puts the volume at 20.48 Å³/atom. The uncorrected formation energy comes out at 1.39 eV per atom. As for the total moment: 0.000 μB per atom. As for the distance to the lowest polymorph of the same formula: 0.000 eV per atom.

The following is a DFT calculation (GGA-PBE) of crystalline AcYInGa at its relaxed geometry.

POSCAR file:
```
AcYInGa
1.0
-0.776 1.088 -5.302
2.809 -2.756 -3.796
-2.554 -3.632 -3.191
Ga In Ac Y
1 1 1 1
Direct
0.000 0.000 0.000
0.500 0.500 0.500
0.250 0.250 0.250
0.750 0.750 0.750
```

Output
The calculation puts the volume at 28.90 Å³/atom. Its calculated formation energy is -0.435 eV per atom. As for the total moment: 0.000 μB per atom.